# 1
Entry from Alexandria: K2RbZrTc after structural relaxation (GGA-PBEsol).

a b c (Å): 5.6784 5.6784 5.9803
angles (deg): 90.00 90.00 90.00
With the nearest neighbours (Å) after each atom.
Space group P4/mmm (No. 123)
Symmetry-distinct sites (fractional):
K 0.0000 0.5000 0.0000  2 Rb 2.84
Rb 0.0000 0.0000 0.0000  4 K 2.84, 2 Zr 2.99
Zr 0.0000 0.0000 0.5000  2 Rb 2.99
Tc 0.5000 0.5000 0.5000  4 Zr 4.02, 8 K 4.12

Output
Its theoretical density is 3039 kg/m3. For the total magnetic moment, the calculation gives 0.1 μB per cell. The formation energy from the elements is 2300 meV per atom.

---

# 2
Entry from Alexandria: KRb3Ti after structural relaxation (GGA-PBEsol).

a b c (Å): 7.3471 7.3471 7.3471
angles (deg): 90.00 90.00 90.00
With the nearest neighbours (Å) after each atom.
Space group Pm-3m (No. 221)
Symmetry-distinct sites (fractional):
K 0.0000 0.0000 0.0000  6 Rb 3.67
Rb 0.0000 0.0000 0.5000  2 K 3.67
Ti 0.5000 0.5000 0.5000  12 Rb 5.20

Output
Its theoretical density is 1438 kg/m3. For the total magnetic moment, the calculation gives 3.0 μB per cell. The formation energy from the elements is 1146 meV per atom.

---

# 3
Entry from Alexandria: KRbTl2 after structural relaxation (GGA-PBEsol).

a b c (Å): 8.4386 8.4386 8.4386
angles (deg): 90.00 90.00 90.00
With the nearest neighbours (Å) after each atom.
Space group Fm-3m (No. 225)
Symmetry-distinct sites (fractional):
K 0.0000 0.0000 0.0000  8 Tl 3.65
Rb 0.0000 0.0000 0.5000  8 Tl 3.65
Tl 0.2500 0.2500 0.2500  4 Rb 3.65, 4 K 3.65

Output
Its theoretical density is 5895 kg/m3. For the total magnetic moment, the calculation gives 0.0 μB per cell. The formation energy from the elements is 68 meV per atom.

---

# 4
Entry from Alexandria: K3RbTl after structural relaxation (GGA-PBEsol).

a b c (Å): 6.8561 6.8561 6.8561
angles (deg): 90.00 90.00 90.00
With the nearest neighbours (Å) after each atom.
Space group Pm-3m (No. 221)
Symmetry-distinct sites (fractional):
K 0.0000 0.0000 0.5000  2 Tl 3.43
Rb 0.5000 0.5000 0.5000  12 K 4.85
Tl 0.0000 0.0000 0.0000  6 K 3.43

Output
Its theoretical density is 2098 kg/m3. For the total magnetic moment, the calculation gives 0.0 μB per cell. The formation energy from the elements is 50 meV per atom.

---

# 5
Entry from Alexandria: KRb3Tl after structural relaxation (GGA-PBEsol).

a b c (Å): 7.4517 7.4517 7.4517
angles (deg): 90.00 90.00 90.00
With the nearest neighbours (Å) after each atom.
Space group Pm-3m (No. 221)
Symmetry-distinct sites (fractional):
K 0.0000 0.0000 0.0000  6 Rb 3.73
Rb 0.0000 0.0000 0.5000  2 K 3.73
Tl 0.5000 0.5000 0.5000  12 Rb 5.27

Output
Its theoretical density is 2006 kg/m3. For the total magnetic moment, the calculation gives 0.0 μB per cell. The formation energy from the elements is 432 meV per atom.

---

# 6
Entry from Alexandria: KRb2Tl2 after structural relaxation (GGA-PBEsol).

a b c (Å): 8.8741 8.8741 6.0372
angles (deg): 90.00 90.00 90.00
With the nearest neighbours (Å) after each atom.
Space group P4/mbm (No. 127)
Symmetry-distinct sites (fractional):
K 0.0000 0.0000 0.0000  4 Tl 3.56
Rb 0.1735 0.3265 0.5000  6 Tl 4.00-4.01, 1 Rb 4.35, 4 K 4.46
Tl 0.1157 0.6157 0.0000  1 Tl 2.90

Output
Its theoretical density is 4323 kg/m3. For the total magnetic moment, the calculation gives 0.0 μB per cell. The formation energy from the elements is 18 meV per atom.

---

# 7
Entry from Alexandria: K2RbW after structural relaxation (GGA-PBEsol).

a b c (Å): 8.9250 8.9250 8.9250
angles (deg): 90.00 90.00 90.00
With the nearest neighbours (Å) after each atom.
Space group Fm-3m (No. 225)
Symmetry-distinct sites (fractional):
K 0.2500 0.2500 0.2500  4 W 3.86, 4 Rb 3.86
Rb 0.0000 0.0000 0.0000  8 K 3.86
W 0.0000 0.0000 0.5000  8 K 3.86

Output
Its theoretical density is 3247 kg/m3. For the total magnetic moment, the calculation gives 20.7 μB per cell. The formation energy from the elements is 1638 meV per atom.

---

# 8
Entry from Alexandria: KRbW3 after structural relaxation (GGA-PBEsol).

a b c (Å): 4.7830 4.7830 4.7830
angles (deg): 90.00 90.00 90.00
With the nearest neighbours (Å) after each atom.
Space group Pm-3m (No. 221)
Symmetry-distinct sites (fractional):
K 0.0000 0.0000 0.0000  6 W 2.39
Rb 0.5000 0.5000 0.5000  12 W 3.38
W 0.0000 0.0000 0.5000  2 K 2.39

Output
Its theoretical density is 10260 kg/m3. For the total magnetic moment, the calculation gives 0.0 μB per cell. The formation energy from the elements is 4131 meV per atom.

---

# 9
Entry from Alexandria: KRb3Zr after structural relaxation (GGA-PBEsol).

a b c (Å): 7.0606 7.0606 7.0606
angles (deg): 90.00 90.00 90.00
With the nearest neighbours (Å) after each atom.
Space group Pm-3m (No. 221)
Symmetry-distinct sites (fractional):
K 0.0000 0.0000 0.0000  12 Rb 4.99
Rb 0.0000 0.5000 0.5000  2 Zr 3.53
Zr 0.5000 0.5000 0.5000  6 Rb 3.53

Output
Its theoretical density is 1824 kg/m3. For the total magnetic moment, the calculation gives 4.8 μB per cell. The formation energy from the elements is 947 meV per atom.

---

# 10
Entry from Alexandria: KRbZr3 after structural relaxation (GGA-PBEsol).

a b c (Å): 5.2320 5.2320 5.2320
angles (deg): 90.00 90.00 90.00
With the nearest neighbours (Å) after each atom.
Space group Pm-3m (No. 221)
Symmetry-distinct sites (fractional):
K 0.0000 0.0000 0.0000  12 Zr 3.70
Rb 0.5000 0.5000 0.5000  6 Zr 2.62
Zr 0.0000 0.5000 0.5000  2 Rb 2.62

Output
Its theoretical density is 4617 kg/m3. For the total magnetic moment, the calculation gives 1.8 μB per cell. The formation energy from the elements is 2094 meV per atom.

---

# 11
Entry from Alexandria: K3Re after structural relaxation (GGA-PBEsol).

a b c (Å): 5.4098 5.4098 5.3956
angles (deg): 90.00 90.00 90.00
With the nearest neighbours (Å) after each atom.
Space group P4/mmm (No. 123)
Symmetry-distinct sites (fractional):
K 0.0000 0.0000 0.0000  8 K 3.82, 4 Re 3.83
K 0.0000 0.5000 0.5000  4 Re 3.82, 8 K 3.82-3.83
Re 0.5000 0.5000 0.0000  12 K 3.82-3.83

Output
Its theoretical density is 3192 kg/m3. For the total magnetic moment, the calculation gives 3.9 μB per cell. The value obtained for the energy relative to the lowest polymorph listed for this composition is 0.86 eV per formula unit. The formation energy from the elements is 1662 meV per atom.

---

# 12
Entry from Alexandria: K3Re after structural relaxation (GGA-PBEsol).

a b c (Å): 3.1156 3.1156 41.4858
angles (deg): 90.00 90.00 120.00
With the nearest neighbours (Å) after each atom.
Space group R-3m (No. 166, hexagonal axes)
Symmetry-distinct sites (fractional):
K 0.0000 0.0000 0.0000  6 K 3.12
K 0.0000 0.0000 0.2334  6 K 3.12, 3 Re 3.30
Re 0.0000 0.0000 0.5000  6 Re 3.12, 6 K 3.30

Output
Its theoretical density is 4335 kg/m3. For the total magnetic moment, the calculation gives 0.0 μB per cell. The value obtained for the energy relative to the lowest polymorph listed for this composition is 0.00 eV per formula unit. The formation energy from the elements is 1447 meV per atom.

---

Which of these has the highest theoretical density?
KRbW3

---

What is the theoretical density in the eighth record?
10260 kg/m3